[1]
NpAlC2: relaxed, PBE.

As for the energy of formation from the pure elements: 0.5481 eV/atom. Its raw total energy is -8.23 eV per atom.

The structure belongs to space group R-3m (No. 166, hexagonal axes); the cell edges are 3.6587, 3.6587 and 16.9173 Å and the angles 90.00°, 90.00° and 120.00°. The distinct sites, in fractional coordinates, are Np at (0.0000, 0.0000, 0.0000), Al at (0.0000, 0.0000, 0.5000) and C at (0.0000, 0.0000, 0.3885).

---

[2]
PmCoGe3Ru: relaxed, PBE.

As for the energy of formation from the pure elements: -0.2603 eV/atom. Its raw total energy is -6.09 eV per atom.

The structure belongs to space group Cmcm (No. 63); the cell edges are 6.526, 11.999 and 6.042 Å and the angles 90.00°, 90.00° and 90.00°. The distinct sites, in fractional coordinates, are Pm at (0.000, 0.227, 0.250), Co at (0.000, 0.405, 0.750), Ge at (0.000, 0.224, 0.750), Ge at (0.207, 0.500, 0.000) and Ru at (0.000, 0.030, 0.750).

---

[3]
LiGa5Ag5: relaxed, PBE.

As for the energy of formation from the pure elements: 0.1084 eV/atom. Its raw total energy is -2.74 eV per atom.

The structure belongs to space group C2/m (No. 12); the cell edges are 11.910, 4.816 and 9.552 Å and the angles 90.00°, 127.28° and 90.00°. The distinct sites, in fractional coordinates, are Li at (0.000, 0.000, 0.000), Ga at (0.000, 0.500, 0.000), Ga at (0.114, 0.000, 0.332), Ga at (0.170, 0.000, 0.884), Ag at (0.000, 0.000, 0.500), Ag at (0.196, 0.500, 0.758) and Ag at (0.212, 0.500, 0.320).

---

[4]
In2As3: relaxed, PBE.

As for the energy of formation from the pure elements: -0.0199 eV/atom. As for the offset from the most stable computed form: 0.000 eV per formula unit. Its raw total energy is -3.90 eV per atom.

The structure belongs to space group R-3m (No. 166, hexagonal axes); the cell edges are 4.0443, 4.0443 and 25.2620 Å and the angles 90.00°, 90.00° and 120.00°. The distinct sites, in fractional coordinates, are In at (0.0000, 0.0000, 0.1041), As at (0.0000, 0.0000, 0.3076) and As at (0.0000, 0.0000, 0.5000).